Entry 1:
DFT (PBE) results for a relaxed structure of CeTmTh2Se4.

Results
calculated volume = 25.33 A^3/atom
E_form (uncorrected) = -1.64 eV/atom
VASP energy = -52.3 eV for the cell shown

a = 7.0803 Å, b = 4.1022 Å, c = 7.3660 Å
α = 90.00°, β = 108.69°, γ = 90.00°
Space group P2/m (No. 10)
Unique sites:
Ce: 0.0000 0.0000 0.0000 [1 per cell]
Tm: 0.5000 0.5000 0.0000 [1 per cell]
Th: 0.0000 0.5000 0.5000 [1 per cell]
Th: 0.5000 0.0000 0.5000 [1 per cell]
Se: 0.2543 0.5000 0.2397 [2 per cell]
Se: 0.2625 0.0000 0.7654 [2 per cell]


Entry 2:
DFT (PBE) results for a relaxed structure of SmHo2Cd6.

Results
calculated volume = 24.63 A^3/atom
energy of formation from the pure elements = -0.316 eV per atom
VASP energy = -22.2 eV for the cell shown

a = 8.6474 Å, b = 8.6474 Å, c = 3.4233 Å
α = 90.00°, β = 90.00°, γ = 120.00°
Space group P6/mmm (No. 191)
Unique sites:
Sm: 0.0000 0.0000 0.0000 [1 per cell]
Ho: 0.3333 0.6667 0.0000 [2 per cell]
Cd: 0.0000 0.3354 0.5000 [6 per cell]